Record 1
# DyAgHgGe

DyAgHgGe after structural relaxation (PBE, Alexandria via LeMat-Bulk).

For the formation energy, the calculation gives -0.324 eV/atom. The calculation puts the density of states at the Fermi level at 3.58 states/eV per cell.

It has space group F-43m (No. 216), with a = 7.019 Å, b = 7.019 Å, c = 7.019 Å, α = 90.00°, β = 90.00° and γ = 90.00°. Symmetry generates all atoms from Dy at (0.000, 0.000, 0.000), Ag at (0.000, 0.000, 0.500), Hg at (0.250, 0.250, 0.250) and Ge at (0.250, 0.250, 0.750).


Record 2
# DyInAgGe

DyInAgGe after structural relaxation (PBE, Alexandria via LeMat-Bulk).

For the formation energy, the calculation gives -0.242 eV/atom. The calculation puts the density of states at the Fermi level at 10.49 states/eV per cell.

It has space group F-43m (No. 216), with a = 7.071 Å, b = 7.071 Å, c = 7.071 Å, α = 90.00°, β = 90.00° and γ = 90.00°. Symmetry generates all atoms from Dy at (0.000, 0.000, 0.000), In at (0.000, 0.000, 0.500), Ag at (0.250, 0.250, 0.250) and Ge at (0.250, 0.250, 0.750).


Record 3
# LaDyAgGe

LaDyAgGe after structural relaxation (PBE, Alexandria via LeMat-Bulk).

For the formation energy, the calculation gives -0.516 eV/atom. The calculation puts the density of states at the Fermi level at 17.16 states/eV per cell.

It has space group F-43m (No. 216), with a = 7.387 Å, b = 7.387 Å, c = 7.387 Å, α = 90.00°, β = 90.00° and γ = 90.00°. Symmetry generates all atoms from La at (0.000, 0.000, 0.000), Dy at (0.000, 0.000, 0.500), Ag at (0.250, 0.250, 0.750) and Ge at (0.250, 0.250, 0.250).


Record 4
# LiDyAgGe

LiDyAgGe after structural relaxation (PBE, Alexandria via LeMat-Bulk).

For the formation energy, the calculation gives -0.447 eV/atom. The calculation puts the density of states at the Fermi level at 8.11 states/eV per cell.

It has space group F-43m (No. 216), with a = 6.837 Å, b = 6.837 Å, c = 6.837 Å, α = 90.00°, β = 90.00° and γ = 90.00°. Symmetry generates all atoms from Li at (0.000, 0.000, 0.000), Dy at (0.000, 0.000, 0.500), Ag at (0.250, 0.250, 0.750) and Ge at (0.250, 0.250, 0.250).


Record 5
# NdDyAgGe

NdDyAgGe after structural relaxation (PBE, Alexandria via LeMat-Bulk).

For the formation energy, the calculation gives -0.515 eV/atom. The calculation puts the density of states at the Fermi level at 15.50 states/eV per cell.

It has space group F-43m (No. 216), with a = 7.308 Å, b = 7.308 Å, c = 7.308 Å, α = 90.00°, β = 90.00° and γ = 90.00°. Symmetry generates all atoms from Nd at (0.000, 0.000, 0.000), Dy at (0.000, 0.000, 0.500), Ag at (0.250, 0.250, 0.250) and Ge at (0.250, 0.250, 0.750).


Record 6
# DyAg2GeO4

DyAg2GeO4 after structural relaxation (PBE, Alexandria via LeMat-Bulk).

The value obtained for the formation energy (no corrections) is -1.50 eV/atom. The calculation puts the density of states at the Fermi level at 1.09 states/eV per cell.

It has space group I-4 (No. 82), with a = 5.269 Å, b = 5.269 Å, c = 9.584 Å, α = 90.00°, β = 90.00° and γ = 90.00°. Symmetry generates all atoms from Dy at (0.000, 0.000, 0.000), Ag at (0.000, 0.000, 0.500), Ag at (0.000, 0.500, 0.750), Ge at (0.000, 0.500, 0.250) and O at (0.164, 0.720, 0.139).


Record 7
# DyAgGeO4

DyAgGeO4 after structural relaxation (PBE, Alexandria via LeMat-Bulk).

The value obtained for the formation energy (no corrections) is -1.93 eV/atom.

It has space group Imma (No. 74), with a = 6.011 Å, b = 7.057 Å, c = 8.905 Å, α = 90.00°, β = 90.00° and γ = 90.00°. Symmetry generates all atoms from Dy at (0.000, 0.000, 0.000), Ag at (0.250, 0.250, 0.250), Ge at (0.000, 0.250, 0.635), O at (0.000, 0.042, 0.746) and O at (0.246, 0.250, 0.514).


Record 8
# DyAgGePd

DyAgGePd after structural relaxation (PBE, Alexandria via LeMat-Bulk).

For the formation energy, the calculation gives -0.488 eV/atom. The calculation puts the density of states at the Fermi level at 2.23 states/eV per cell.

It has space group F-43m (No. 216), with a = 6.756 Å, b = 6.756 Å, c = 6.756 Å, α = 90.00°, β = 90.00° and γ = 90.00°. Symmetry generates all atoms from Dy at (0.000, 0.000, 0.000), Ag at (0.000, 0.000, 0.500), Ge at (0.250, 0.250, 0.250) and Pd at (0.250, 0.250, 0.750).


Record 9
# Dy2AgGe4Pt3

Dy2AgGe4Pt3 after structural relaxation (PBE, Alexandria via LeMat-Bulk).

For the formation energy, the calculation gives -0.749 eV/atom. The calculation puts the density of states at the Fermi level at 4.20 states/eV per cell.

It has space group P-4m2 (No. 115), with a = 4.284 Å, b = 4.284 Å, c = 10.402 Å, α = 90.00°, β = 90.00° and γ = 90.00°. Symmetry generates all atoms from Dy at (0.000, 0.500, 0.247), Ag at (0.500, 0.500, 0.000), Ge at (0.000, 0.000, 0.500), Ge at (0.000, 0.500, 0.860), Ge at (0.500, 0.500, 0.500), Pt at (0.000, 0.000, 0.000) and Pt at (0.000, 0.500, 0.627).


Record 10
# Dy2AgGe2Rh5

Dy2AgGe2Rh5 after structural relaxation (PBE, Alexandria via LeMat-Bulk).

For the formation energy, the calculation gives -0.677 eV/atom. The calculation puts the density of states at the Fermi level at 9.89 states/eV per cell.

It has space group P4/mbm (No. 127), with a = 9.786 Å, b = 9.786 Å, c = 3.597 Å, α = 90.00°, β = 90.00° and γ = 90.00°. Symmetry generates all atoms from Dy at (0.174, 0.326, 0.000), Ag at (0.000, 0.000, 0.000), Ge at (0.126, 0.626, 0.000), Rh at (0.000, 0.500, 0.500) and Rh at (0.068, 0.790, 0.500).


Record 11
# DyAg2GeS4

DyAg2GeS4 after structural relaxation (PBE, Alexandria via LeMat-Bulk).

The value obtained for the formation energy (no corrections) is -0.68 eV/atom. The calculation puts the density of states at the Fermi level at 9.17 states/eV per cell.

It has space group Imma (No. 74), with a = 7.498 Å, b = 7.879 Å, c = 10.991 Å, α = 90.00°, β = 90.00° and γ = 90.00°. Symmetry generates all atoms from Dy at (0.000, 0.000, 0.000), Ag at (0.000, 0.000, 0.500), Ag at (0.250, 0.250, 0.250), Ge at (0.250, 0.250, 0.750), S at (0.000, 0.015, 0.751) and S at (0.250, 0.250, 0.512).


Record 12
# Dy2Ag3GeS6

Dy2Ag3GeS6 after structural relaxation (PBE, Alexandria via LeMat-Bulk).

The value obtained for the formation energy (no corrections) is -0.87 eV/atom. The calculation puts the density of states at the Fermi level at 6.47 states/eV per cell.

It has space group C2/m (No. 12), with a = 16.962 Å, b = 3.920 Å, c = 7.603 Å, α = 90.00°, β = 100.63° and γ = 90.00°. Symmetry generates all atoms from Dy at (0.164, 0.000, 0.328), Ag at (0.000, 0.500, 0.500), Ag at (0.175, 0.000, 0.832), Ge at (0.000, 0.500, 0.000), S at (0.000, 0.000, 0.239), S at (0.157, 0.500, 0.077) and S at (0.170, 0.500, 0.581).


Record 13
# DyAgGeS4

DyAgGeS4 after structural relaxation (PBE, Alexandria via LeMat-Bulk).

The value obtained for the formation energy (no corrections) is -0.78 eV/atom. The calculation puts the density of states at the Fermi level at 5.39 states/eV per cell.

It has space group Imma (No. 74), with a = 7.440 Å, b = 8.008 Å, c = 10.624 Å, α = 90.00°, β = 90.00° and γ = 90.00°. Symmetry generates all atoms from Dy at (0.000, 0.000, 0.000), Ag at (0.250, 0.250, 0.250), Ge at (0.000, 0.250, 0.638), S at (0.000, 0.007, 0.743) and S at (0.246, 0.250, 0.503).


Record 14
# Dy3Ag3GeS8

Dy3Ag3GeS8 after structural relaxation (PBE, Alexandria via LeMat-Bulk).

The value obtained for the formation energy (no corrections) is -1.03 eV/atom. The calculation puts the density of states at the Fermi level at 2.73 states/eV per cell.

It has space group C2/m (No. 12), with a = 13.287 Å, b = 7.873 Å, c = 7.750 Å, α = 90.00°, β = 124.11° and γ = 90.00°. Symmetry generates all atoms from Dy at (0.000, 0.000, 0.000), Dy at (0.250, 0.250, 0.500), Ag at (0.000, 0.500, 0.500), Ag at (0.250, 0.250, 0.000), Ge at (0.000, 0.500, 0.000), S at (0.001, 0.274, 0.775), S at (0.226, 0.500, 0.227) and S at (0.245, 0.000, 0.257).


Record 15
# DyScAgGe

DyScAgGe after structural relaxation (PBE, Alexandria via LeMat-Bulk).

For the formation energy, the calculation gives -0.506 eV/atom. The calculation puts the density of states at the Fermi level at 14.28 states/eV per cell.

It has space group F-43m (No. 216), with a = 6.992 Å, b = 6.992 Å, c = 6.992 Å, α = 90.00°, β = 90.00° and γ = 90.00°. Symmetry generates all atoms from Dy at (0.000, 0.000, 0.000), Sc at (0.000, 0.000, 0.500), Ag at (0.250, 0.250, 0.750) and Ge at (0.250, 0.250, 0.250).


Record 16
# Dy2Ag3GeSe6

Dy2Ag3GeSe6 after structural relaxation (PBE, Alexandria via LeMat-Bulk).

The value obtained for the formation energy (no corrections) is -0.80 eV/atom. The calculation puts the density of states at the Fermi level at 9.16 states/eV per cell.

It has space group C2/m (No. 12), with a = 17.728 Å, b = 4.078 Å, c = 7.929 Å, α = 90.00°, β = 100.62° and γ = 90.00°. Symmetry generates all atoms from Dy at (0.165, 0.000, 0.326), Ag at (0.000, 0.500, 0.500), Ag at (0.177, 0.000, 0.830), Ge at (0.000, 0.500, 0.000), Se at (0.000, 0.000, 0.244), Se at (0.159, 0.500, 0.072) and Se at (0.168, 0.500, 0.581).


Record 17
# DyAg2GeSe4

DyAg2GeSe4 after structural relaxation (PBE, Alexandria via LeMat-Bulk).

The value obtained for the formation energy (no corrections) is -0.57 eV/atom. The calculation puts the density of states at the Fermi level at 8.32 states/eV per cell.

It has space group Pmn2_1 (No. 31), with a = 8.712 Å, b = 7.617 Å, c = 6.963 Å, α = 90.00°, β = 90.00° and γ = 90.00°. Symmetry generates all atoms from Dy at (0.000, 0.170, 0.000), Ag at (0.242, 0.300, 0.542), Ge at (0.000, 0.817, 0.518), Se at (0.000, 0.135, 0.395), Se at (0.000, 0.827, 0.882) and Se at (0.236, 0.644, 0.415).


Record 18
# SmDyAgGe

SmDyAgGe after structural relaxation (PBE, Alexandria via LeMat-Bulk).

For the formation energy, the calculation gives -0.524 eV/atom. The calculation puts the density of states at the Fermi level at 15.12 states/eV per cell.

It has space group F-43m (No. 216), with a = 7.260 Å, b = 7.260 Å, c = 7.260 Å, α = 90.00°, β = 90.00° and γ = 90.00°. Symmetry generates all atoms from Sm at (0.000, 0.000, 0.000), Dy at (0.000, 0.000, 0.500), Ag at (0.250, 0.250, 0.250) and Ge at (0.250, 0.250, 0.750).


Record 19
# TbDyAgGe

TbDyAgGe after structural relaxation (PBE, Alexandria via LeMat-Bulk).

For the formation energy, the calculation gives -0.530 eV/atom. The calculation puts the density of states at the Fermi level at 14.47 states/eV per cell.

It has space group F-43m (No. 216), with a = 7.199 Å, b = 7.199 Å, c = 7.199 Å, α = 90.00°, β = 90.00° and γ = 90.00°. Symmetry generates all atoms from Tb at (0.000, 0.000, 0.000), Dy at (0.000, 0.000, 0.500), Ag at (0.250, 0.250, 0.250) and Ge at (0.250, 0.250, 0.750).


Record 20
# Dy8AgGe3Te4

Dy8AgGe3Te4 after structural relaxation (PBE, Alexandria via LeMat-Bulk).

The value obtained for the formation energy (no corrections) is -1.06 eV/atom. The calculation puts the density of states at the Fermi level at 23.93 states/eV per cell.

It has space group R-3m (No. 166, hexagonal axes), with a = 8.4981 Å, b = 8.4981 Å, c = 21.2396 Å, α = 90.00°, β = 90.00° and γ = 120.00°. Symmetry generates all atoms from Dy at (0.0000, 0.0000, 0.2397), Dy at (0.0118, 0.5059, 0.7576), Ag at (0.0000, 0.0000, 0.5000), Ge at (0.0000, 0.5000, 0.5000), Te at (0.0000, 0.0000, 0.0000) and Te at (0.0000, 0.5000, 0.0000).


| no. | uncorrected energy (eV/f.u.) |
| --- | --- |
| 1 | -13.7 |
| 2 | -15.8 |
| 3 | -19.1 |
| 4 | -15.8 |
| 5 | -18.9 |
| 6 | -46.8 |
| 7 | -45.4 |
| 8 | -19.2 |
| 9 | -56.1 |
| 10 | -64.8 |
| 11 | -36.9 |
| 12 | -57.6 |
| 13 | -34.0 |
| 14 | -75.4 |
| 15 | -20.4 |
| 16 | -52.9 |
| 17 | -33.5 |
| 18 | -18.9 |
| 19 | -18.8 |
| 20 | -83.1 |